AcTh2Pt4 | PBE | optimized geometry Values from VASP.

Cell and atoms, written as Quantum ESPRESSO input:
```
&SYSTEM
  ibrav = 0, nat = 14, ntyp = 3
/
ATOMIC_SPECIES
Ac 227.00 Ac.upf
Th 232.04 Th.upf
Pt 195.08 Pt.upf
CELL_PARAMETERS angstrom
-1.5766 -7.1451 -2.3002
1.7908 -0.1943 7.4555
-6.0946 4.5207 -1.1172
ATOMIC_POSITIONS crystal
Ac 0.2500 0.7500 0.5000
Ac 0.0000 0.0000 0.0000
Th 0.6250 0.5119 0.3869
Th 0.1250 0.2381 0.6131
Th 0.7619 0.3750 0.8869
Th 0.4881 0.8750 0.1131
Pt 0.7159 0.9734 0.5677
Pt 0.5341 0.6018 0.7575
Pt 0.4056 0.1482 0.4323
Pt 0.8518 0.2841 0.2574
Pt 0.0266 0.5944 0.7426
Pt 0.8444 0.7766 0.2425
Pt 0.2234 0.4659 0.0677
Pt 0.3982 0.1556 0.9323
```

Output
- final energy (eV for the cell shown) = -102.671
- magnetization (μB/atom) = 0.00
- theoretical density (g cm⁻³) = 14.072
- V (Å³ per cell) = 347
- SG = No. 122